Material: NaSrAgSn2
Method: DFT, PBE
State: optimized geometry

Results
mass density	5.413	g/cm3
E_tot	-3.07	eV per atom

Structure (extended XYZ):
```
10
Lattice="-4.2631 -5.1034 1.2790 0.6854 -2.0281 -5.8082 5.1321 -3.8025 1.9334" Properties=species:S:1:pos:R:3 pbc="T T T"
Na -1.4871 -2.4923 -0.9545
Na -2.0907 -4.6392 -3.5747
Sn 3.2556 -5.4749 -2.6521
Sn 0.6337 -7.1893 0.9358
Sn 0.9206 -3.7447 -3.5317
Sn -1.7013 -5.4592 0.0562
Sr -0.1226 -7.2563 -2.4287
Sr 1.6769 -3.6777 -0.1672
Ag 0.3427 -1.0141 -2.9041
Ag 0.0000 0.0000 0.0000
```

Material: Na2TaAgSn
Method: DFT, PBE
State: optimized geometry

Results
mass density	4.735	g/cm3
E_tot	-2.89	eV per atom

Structure (extended XYZ):
```
5
Lattice="-0.2682 5.0864 -2.2531 -3.8537 -1.5376 -3.0124 -3.6641 1.5359 3.9033" Properties=species:S:1:pos:R:3 pbc="T T T"
Na -0.1341 2.5432 -1.1266
Na -1.8320 0.7679 1.9517
Ag -1.9268 -0.7688 -1.5062
Sn 0.0000 0.0000 0.0000
Ta -3.8929 2.5423 -0.6811
```

Material: NaTbAgSn
Method: DFT, PBE
State: optimized geometry

Results
mass density	6.905	g/cm3
E_tot	-3.53	eV per atom

Structure (extended XYZ):
```
4
Lattice="-5.0914 -0.4142 0.8549 -2.0684 -4.6102 1.1366 -1.7549 -0.9432 4.7807" Properties=species:S:1:pos:R:3 pbc="T T T"
Sn -2.2286 -1.4919 1.6931
Tb 0.0000 0.0000 0.0000
Ag -6.6859 -4.4758 5.0792
Na -4.4573 -2.9838 3.3861
```